## Nd4HoZn (PBE)

Data for a geometry-optimized Nd4HoZn structure.

a b c (Å): 6.3852 9.2465 8.2506
angles (deg): 114.49 100.12 112.14
Closest atoms and distances in Å follow each position.
Element x y z (fractional)
Nd  0.7654  0.3903  0.2222  2 Zn 3.26, 2 Ho 3.40-3.58, 3 Nd 3.43-3.63
Nd  0.3698  0.9206  0.6339  2 Zn 3.11-3.12, 3 Nd 3.43-3.48
Nd  0.6302  0.0794  0.3661  2 Zn 3.11-3.12, 3 Nd 3.43-3.48
Nd  0.2359  0.2867  0.3661  2 Zn 3.11-3.12, 3 Nd 3.43-3.48
Nd  0.9567  0.8319  0.2222  2 Zn 3.26, 2 Ho 3.40-3.58, 3 Nd 3.43-3.63
Nd  0.0433  0.1681  0.7778  2 Zn 3.26, 2 Ho 3.40-3.58, 3 Nd 3.43-3.63
Nd  0.7641  0.7133  0.6339  2 Zn 3.11-3.12, 3 Nd 3.43-3.48
Nd  0.2346  0.6097  0.7778  2 Zn 3.26, 2 Ho 3.40-3.58, 3 Nd 3.43-3.63
Ho  0.3433  0.5933  0.1865  8 Nd 3.40-3.62
Ho  0.6567  0.4067  0.8135  8 Nd 3.40-3.62
Zn  0.7494  0.9994  0.9988  8 Nd 3.11-3.26, 2 Zn 3.19
Zn  0.2506  0.0006  0.0012  8 Nd 3.11-3.26, 2 Zn 3.19

The value obtained for the energy above the most stable polymorph in this dataset is 0.096 eV per atom. The calculation puts the energy of formation from the pure elements at 4 meV per atom. The final energy is -0.3050 Ry per atom. The crystal system is monoclinic.



## Nd2HoZn9 (PBE)

Data for a geometry-optimized Nd2HoZn9 structure.

a b c (Å): 5.4870 5.4870 9.2938
angles (deg): 72.83 72.83 60.00
Closest atoms and distances in Å follow each position.
Element x y z (fractional)
Zn  0.4179  0.4179  0.2405  7 Zn 2.62-2.78
Zn  0.4179  0.9237  0.2405  7 Zn 2.62-2.78
Zn  0.3346  0.3346  0.9961  6 Zn 2.62-2.65
Zn  0.5000  0.5000  0.5000  6 Zn 2.78
Zn  0.5821  0.5821  0.7595  7 Zn 2.62-2.78
Zn  0.9237  0.4179  0.2405  7 Zn 2.62-2.78
Zn  0.6654  0.6654  0.0039  6 Zn 2.62-2.65
Zn  0.0763  0.5821  0.7595  7 Zn 2.62-2.78
Zn  0.5821  0.0763  0.7595  7 Zn 2.62-2.78
Nd  0.1401  0.1401  0.5798  12 Zn 3.16-3.35, 3 Nd 3.46
Nd  0.8599  0.8599  0.4202  12 Zn 3.16-3.35, 3 Nd 3.46
Ho  0.0000  0.0000  0.0000  18 Zn 3.17-3.46

The calculation puts the energy of formation from the pure elements at -287 meV per atom. The final energy is -0.1777 Ry per atom. The crystal system is trigonal.



## Nd2Ho3Zn2 (PBE)

Data for a geometry-optimized Nd2Ho3Zn2 structure.

a b c (Å): 4.7426 6.2513 8.1263
angles (deg): 115.06 90.00 112.29
Closest atoms and distances in Å follow each position.
Element x y z (fractional)
Zn  0.1428  0.2857  0.1914  3 Ho 2.81-2.90
Zn  0.8572  0.7143  0.8086  3 Ho 2.81-2.90
Ho  0.5000  0.0000  0.0000  4 Zn 2.90
Ho  0.3655  0.7310  0.5367  1 Zn 2.81
Ho  0.6345  0.2690  0.4633  1 Zn 2.81
Nd  0.1364  0.2728  0.7922  4 Zn 3.21-3.44, 2 Ho 3.57
Nd  0.8636  0.7272  0.2078  4 Zn 3.21-3.44, 2 Ho 3.57

The value obtained for the energy above the most stable polymorph in this dataset is 0.042 eV per atom. The calculation puts the energy of formation from the pure elements at -89 meV per atom. The final energy is -0.2776 Ry per atom. The crystal system is monoclinic.



Number 1: N(E_F) 1.35 states/eV/atom, volume 189 Å³/f.u.. Number 2: N(E_F) 0.52 states/eV/atom, volume 228 Å³/f.u.. Number 3: N(E_F) 1.26 states/eV/atom, volume 198 Å³/f.u..